A relaxed NbFe2Ag crystal, computed with PBE.

Cell: 3.8252 3.8252 17.8169 Å, 90.00 90.00 90.00°
Closest atoms and distances in Å follow each position.
Space group I-42d (No. 122)
Symmetry-distinct sites (fractional):
Nb (0.0000, 0.0000, 0.0000) x4  4 Fe 2.58, 4 Ag 2.70
Fe (0.2335, 0.2500, 0.1250) x8  2 Nb 2.58, 4 Fe 2.62-2.80, 2 Ag 2.63
Ag (0.0000, 0.0000, 0.5000) x4  4 Fe 2.63, 4 Nb 2.70

Properties
* density of states at the Fermi level: 1.177 states/eV per atom
* formation energy from the elements: 77 kJ/mol of atoms
* DFT total energy: -106.7 eV for the cell shown